First-principles (PBE-GGA) data for a relaxed structure of HgSb2F, as listed in Alexandria via LeMat-Bulk.

For the energy above the most stable polymorph in this dataset, the calculation gives 0.013 eV per atom. The calculation puts the total DFT energy (no corrections) at -3.00 eV per atom. As for the calculated volume: 86 Å³/f.u.

Unit cell a=4.9566 b=4.9566 c=4.9566 alpha=60.00 beta=60.00 gamma=60.00
Last column: nearest neighbours and their distance in Å.
Element x y z (fractional)
Sb 0.2500 0.2500 0.2500  4 Hg 3.04, 4 F 3.04
Sb 0.7500 0.7500 0.7500  4 Hg 3.04, 4 F 3.04
Hg 0.5000 0.5000 0.5000  8 Sb 3.04
F 0.0000 0.0000 0.0000  8 Sb 3.04